{"formula": "CrFe2Os", "functional": "SCAN", "state": "single point on PBEsol structure", "total_magnetization_mub_per_fu": 2.42, "crystal_system": "tetragonal", "e_form_ev_per_atom": 0.06, "cell": [[3.565, 0.000, 0.000], [0.000, 3.565, 0.000], [0.000, 0.000, 3.565]], "species": ["Cr", "Fe", "Fe", "Os"], "fractional_positions": [[0.000, 0.000, 0.000], [0.000, 0.500, 0.500], [0.500, 0.000, 0.500], [0.500, 0.500, 0.000]]}

{"formula": "CrFeP3", "functional": "SCAN", "state": "single point on PBEsol structure", "total_magnetization_mub_per_fu": 3.55, "crystal_system": "cubic", "e_form_ev_per_atom": 0.64, "cell": [[4.289, 0.000, 0.000], [0.000, 4.289, 0.000], [0.000, 0.000, 4.289]], "species": ["Cr", "Fe", "P", "P", "P"], "fractional_positions": [[0.000, 0.000, 0.000], [0.500, 0.500, 0.500], [0.000, 0.500, 0.500], [0.500, 0.000, 0.500], [0.500, 0.500, 0.000]]}

{"formula": "Cr2FePb", "functional": "SCAN", "state": "single point on PBEsol structure", "total_magnetization_mub_per_fu": 1.36, "crystal_system": "orthorhombic", "e_form_ev_per_atom": 0.65, "cell": [[-1.656, 1.986, 4.145], [1.656, -1.986, 4.145], [1.656, 1.986, -4.145]], "species": ["Cr", "Cr", "Fe", "Pb"], "fractional_positions": [[0.243, 0.243, 0.000], [0.757, 0.757, 0.000], [0.000, 0.500, 0.500], [0.500, 0.000, 0.500]]}

{"formula": "TaCr2FePb", "functional": "SCAN", "state": "single point on PBEsol structure", "total_magnetization_mub_per_fu": 8.01, "crystal_system": "tetragonal", "e_form_ev_per_atom": 1.29, "cell": [[4.697, 0.000, 0.000], [0.000, 4.697, 0.000], [0.000, 0.000, 4.532]], "species": ["Ta", "Cr", "Cr", "Fe", "Pb"], "fractional_positions": [[0.000, 0.000, 0.000], [0.000, 0.500, 0.000], [0.500, 0.000, 0.000], [0.000, 0.000, 0.500], [0.500, 0.500, 0.500]]}